## AlSiP (PBEsol)

Data for an optimized crystal structure of AlSiP.

```
data_AlSiP
_space_group_name_H-M_alt 'P 1'
_space_group_IT_number 1
_cell_length_a 3.071
_cell_length_b 3.071
_cell_length_c 5.166
_cell_angle_alpha 107.29
_cell_angle_beta 107.29
_cell_angle_gamma 90.00
loop_
_space_group_symop_operation_xyz
'x,y,z'
loop_
_atom_site_label
_atom_site_type_symbol
_atom_site_fract_x
_atom_site_fract_y
_atom_site_fract_z
Si1 Si 0.311 0.311 0.622
Al1 Al 0.006 0.006 0.011
P1 P 0.683 0.683 0.367
```

## Properties
Symmetry: No. 107
Final energy, eV per atom: -5.07